This record from Alexandria via LeMat-Bulk describes an optimized crystal structure of LiCa2CdHg4. The functional is PBE.

It has space group R-3m (No. 166, hexagonal axes), with a = 5.1477 Å, b = 5.1477 Å, c = 25.1375 Å, α = 90.00°, β = 90.00° and γ = 120.00°. Symmetry generates all atoms from Li at (0.0000, 0.0000, 0.0000), Ca at (0.0000, 0.0000, 0.2464), Cd at (0.0000, 0.0000, 0.5000), Hg at (0.0000, 0.0000, 0.1194) and Hg at (0.0000, 0.0000, 0.3708).

The value obtained for the formation energy is -0.4059 eV/atom.

This record from Alexandria via LeMat-Bulk describes an optimized crystal structure of LiCaCd2Hg. The functional is PBE.

It has space group P4/mmm (No. 123), with a = 4.947 Å, b = 4.947 Å, c = 4.968 Å, α = 90.00°, β = 90.00° and γ = 90.00°. Symmetry generates all atoms from Li at (0.000, 0.000, 0.000), Ca at (0.500, 0.500, 0.500), Cd at (0.000, 0.500, 0.000) and Hg at (0.000, 0.000, 0.500).

The value obtained for the formation energy is -0.1537 eV/atom.

This record from Alexandria via LeMat-Bulk describes an optimized crystal structure of Li2CaCdHg4. The functional is PBE.

It has space group R-3m (No. 166, hexagonal axes), with a = 4.8541 Å, b = 4.8541 Å, c = 26.8236 Å, α = 90.00°, β = 90.00° and γ = 120.00°. Symmetry generates all atoms from Li at (0.0000, 0.0000, 0.2361), Ca at (0.0000, 0.0000, 0.0000), Cd at (0.0000, 0.0000, 0.5000), Hg at (0.0000, 0.0000, 0.1208) and Hg at (0.0000, 0.0000, 0.3872).

The value obtained for the formation energy is -0.3187 eV/atom.

This record from Alexandria via LeMat-Bulk describes an optimized crystal structure of Ca3Mg2Cd2Hg4. The functional is PBE.

It has space group P-3m1 (No. 164), with a = 4.9650 Å, b = 4.9650 Å, c = 13.7869 Å, α = 90.00°, β = 90.00° and γ = 120.00°. Symmetry generates all atoms from Ca at (0.0000, 0.0000, 0.0000), Ca at (0.0000, 0.0000, 0.2686), Mg at (0.3333, 0.6667, 0.5742), Cd at (0.3333, 0.6667, 0.1375), Hg at (0.3333, 0.6667, 0.3707) and Hg at (0.3333, 0.6667, 0.8692).

The value obtained for the formation energy is -0.3354 eV/atom.

This record from Alexandria via LeMat-Bulk describes an optimized crystal structure of CaMg2Cd2Hg2. The functional is PBE.

It has space group R-3m (No. 166, hexagonal axes), with a = 4.8940 Å, b = 4.8940 Å, c = 25.4091 Å, α = 90.00°, β = 90.00° and γ = 120.00°. Symmetry generates all atoms from Ca at (0.0000, 0.0000, 0.0000), Mg at (0.0000, 0.0000, 0.1322), Cd at (0.0000, 0.0000, 0.2493) and Hg at (0.0000, 0.0000, 0.4006).

The value obtained for the formation energy is -0.2116 eV/atom.

This record from Alexandria via LeMat-Bulk describes an optimized crystal structure of Ca2MgCd4Hg2. The functional is PBE.

It has space group P-1 (No. 2), with a = 6.306 Å, b = 6.317 Å, c = 7.413 Å, α = 95.50°, β = 109.09° and γ = 119.76°. Symmetry generates all atoms from Ca at (0.081, 0.273, 0.357), Mg at (0.500, 0.000, 0.500), Cd at (0.033, 0.313, 0.860), Cd at (0.450, 0.173, 0.140) and Hg at (0.467, 0.302, 0.767).

The value obtained for the formation energy is -0.2705 eV/atom.

This record from Alexandria via LeMat-Bulk describes an optimized crystal structure of Ca4MgCd2Hg. The functional is PBE.

It has space group R-3m (No. 166, hexagonal axes), with a = 5.4565 Å, b = 5.4565 Å, c = 26.6633 Å, α = 90.00°, β = 90.00° and γ = 120.00°. Symmetry generates all atoms from Ca at (0.0000, 0.0000, 0.1207), Ca at (0.0000, 0.0000, 0.3712), Mg at (0.0000, 0.0000, 0.5000), Cd at (0.0000, 0.0000, 0.2444) and Hg at (0.0000, 0.0000, 0.0000).

The value obtained for the formation energy is -0.3408 eV/atom.

This record from Alexandria via LeMat-Bulk describes an optimized crystal structure of Ca2MgCdHg4. The functional is PBE.

It has space group R-3m (No. 166, hexagonal axes), with a = 5.1751 Å, b = 5.1751 Å, c = 25.1240 Å, α = 90.00°, β = 90.00° and γ = 120.00°. Symmetry generates all atoms from Ca at (0.0000, 0.0000, 0.2472), Mg at (0.0000, 0.0000, 0.0000), Cd at (0.0000, 0.0000, 0.5000), Hg at (0.0000, 0.0000, 0.1201) and Hg at (0.0000, 0.0000, 0.3725).

The value obtained for the formation energy is -0.3985 eV/atom.

This record from Alexandria via LeMat-Bulk describes an optimized crystal structure of Ca2CdHgN. The functional is PBE.

It has space group P4/mmm (No. 123), with a = 4.893 Å, b = 4.893 Å, c = 4.635 Å, α = 90.00°, β = 90.00° and γ = 90.00°. Symmetry generates all atoms from Ca at (0.000, 0.500, 0.000), Cd at (0.000, 0.000, 0.500), Hg at (0.500, 0.500, 0.500) and N at (0.000, 0.000, 0.000).

The calculation puts the formation energy without anion corrections at -0.439 eV per atom.

This record from Alexandria via LeMat-Bulk describes an optimized crystal structure of NaCa2Cd2Hg2. The functional is PBE.

It has space group R-3m (No. 166, hexagonal axes), with a = 5.1333 Å, b = 5.1333 Å, c = 24.1089 Å, α = 90.00°, β = 90.00° and γ = 120.00°. Symmetry generates all atoms from Na at (0.0000, 0.0000, 0.0000), Ca at (0.0000, 0.0000, 0.1303), Cd at (0.0000, 0.0000, 0.2730) and Hg at (0.0000, 0.0000, 0.4141).

The value obtained for the formation energy is -0.2239 eV/atom.

This record from Alexandria via LeMat-Bulk describes an optimized crystal structure of Na2CaCdHg2. The functional is PBE.

It has space group Pmc2_1 (No. 26), with a = 4.302 Å, b = 9.838 Å, c = 7.866 Å, α = 90.00°, β = 90.00° and γ = 90.00°. Symmetry generates all atoms from Na at (0.000, 0.076, 0.000), Na at (0.500, 0.174, 0.319), Ca at (0.500, 0.429, 0.900), Cd at (0.000, 0.325, 0.581), Hg at (0.000, 0.376, 0.197) and Hg at (0.500, 0.132, 0.713).

The value obtained for the formation energy is -0.2824 eV/atom.

This record from Alexandria via LeMat-Bulk describes an optimized crystal structure of NaCa2CdHg4. The functional is PBE.

It has space group R-3m (No. 166, hexagonal axes), with a = 5.2176 Å, b = 5.2176 Å, c = 25.8235 Å, α = 90.00°, β = 90.00° and γ = 120.00°. Symmetry generates all atoms from Na at (0.0000, 0.0000, 0.0000), Ca at (0.0000, 0.0000, 0.2459), Cd at (0.0000, 0.0000, 0.5000), Hg at (0.0000, 0.0000, 0.1231) and Hg at (0.0000, 0.0000, 0.3740).

The value obtained for the formation energy is -0.3755 eV/atom.

The records above give, respectively, mass density values of 8.7; 6.5; 8.8; 6.7; 6.8; 6.9; 4.4; 8.7; 6.1; 6.6; 6.0; 8.3 g/cm³.